{"formula": "Pr3DyHo7", "functional": "GGA-PBE", "state": "optimized geometry", "ef_ev_per_atom": 0.124, "mass_density_g_cm3": 7.91, "dos_ef_per_ev_cell": 17.5, "energy_ev_per_atom": -4.511, "vol_a3_per_cell": 365.1, "lattice": [[6.522, 0.000, 0.000], [-0.618, 6.670, 0.000], [-1.253, -1.535, 8.393]], "species": ["Pr", "Pr", "Pr", "Dy", "Ho", "Ho", "Ho", "Ho", "Ho", "Ho", "Ho"], "fractional_positions": [[0.000, 0.000, 0.000], [0.197, 0.562, 0.164], [0.803, 0.438, 0.836], [0.500, 0.000, 0.500], [0.013, 0.768, 0.580], [0.280, 0.275, 0.786], [0.438, 0.791, 0.855], [0.500, 0.500, 0.500], [0.562, 0.209, 0.145], [0.720, 0.725, 0.214], [0.987, 0.232, 0.420]]}


{"formula": "Pr2Dy12Ho", "functional": "GGA-PBE", "state": "optimized geometry", "ef_ev_per_atom": 0.162, "mass_density_g_cm3": 8.03, "dos_ef_per_ev_cell": 46.8, "energy_ev_per_atom": -4.462, "vol_a3_per_cell": 991.5, "lattice": [[3.536, -5.660, 0.000], [3.536, 5.660, 0.000], [0.000, 0.000, 24.772]], "species": ["Pr", "Pr", "Pr", "Pr", "Dy", "Dy", "Dy", "Dy", "Dy", "Dy", "Dy", "Dy", "Dy", "Dy", "Dy", "Dy", "Dy", "Dy", "Dy", "Dy", "Dy", "Dy", "Dy", "Dy", "Dy", "Dy", "Dy", "Dy", "Ho", "Ho"], "fractional_positions": [[0.250, 0.750, 0.235], [0.250, 0.750, 0.770], [0.750, 0.250, 0.230], [0.750, 0.250, 0.765], [0.000, 0.000, 0.423], [0.000, 0.000, 0.577], [0.001, 0.501, 0.625], [0.012, 0.512, 0.084], [0.014, 0.986, 0.939], [0.250, 0.250, 0.173], [0.250, 0.250, 0.302], [0.250, 0.250, 0.698], [0.250, 0.250, 0.827], [0.486, 0.514, 0.939], [0.488, 0.988, 0.084], [0.499, 0.999, 0.625], [0.500, 0.500, 0.423], [0.500, 0.500, 0.577], [0.501, 0.001, 0.375], [0.512, 0.012, 0.916], [0.514, 0.486, 0.061], [0.750, 0.750, 0.173], [0.750, 0.750, 0.302], [0.750, 0.750, 0.698], [0.750, 0.750, 0.827], [0.986, 0.014, 0.061], [0.988, 0.488, 0.916], [0.999, 0.499, 0.375], [0.250, 0.750, 0.500], [0.750, 0.250, 0.500]]}


{"formula": "PrDy5Ho", "functional": "GGA-PBE", "state": "optimized geometry", "ef_ev_per_atom": 0.191, "mass_density_g_cm3": 8.13, "dos_ef_per_ev_cell": 19.3, "energy_ev_per_atom": -4.433, "vol_a3_per_cell": 456.7, "lattice": [[5.853, -3.393, 0.000], [5.853, 3.393, 0.000], [-4.092, 0.000, 11.499]], "species": ["Pr", "Pr", "Dy", "Dy", "Dy", "Dy", "Dy", "Dy", "Dy", "Dy", "Dy", "Dy", "Ho", "Ho"], "fractional_positions": [[0.000, 0.500, 0.000], [0.500, 0.000, 0.500], [0.081, 0.363, 0.252], [0.081, 0.919, 0.250], [0.153, 0.695, 0.501], [0.305, 0.847, 0.999], [0.363, 0.081, 0.752], [0.637, 0.919, 0.248], [0.695, 0.153, 0.001], [0.847, 0.305, 0.499], [0.919, 0.081, 0.750], [0.919, 0.637, 0.748], [0.472, 0.528, 0.750], [0.528, 0.472, 0.250]]}


{"formula": "Pr2Dy7Ho3", "functional": "GGA-PBE", "state": "optimized geometry", "ef_ev_per_atom": 0.115, "mass_density_g_cm3": 8.16, "dos_ef_per_ev_cell": 17.7, "energy_ev_per_atom": -4.511, "vol_a3_per_cell": 389.6, "lattice": [[2.847, -18.938, 0.000], [2.847, 18.938, 0.000], [0.000, 0.000, 3.613]], "species": ["Pr", "Pr", "Dy", "Dy", "Dy", "Dy", "Dy", "Dy", "Dy", "Ho", "Ho", "Ho"], "fractional_positions": [[0.147, 0.853, 0.000], [0.853, 0.147, 0.000], [0.000, 0.000, 0.000], [0.070, 0.930, 0.500], [0.231, 0.769, 0.000], [0.411, 0.589, 0.000], [0.589, 0.411, 0.000], [0.769, 0.231, 0.000], [0.930, 0.070, 0.500], [0.314, 0.686, 0.500], [0.500, 0.500, 0.500], [0.686, 0.314, 0.500]]}


{"formula": "PrDy3Ho8", "functional": "GGA-PBE", "state": "optimized geometry", "ef_ev_per_atom": 0.324, "mass_density_g_cm3": 7.91, "dos_ef_per_ev_cell": 14.8, "energy_ev_per_atom": -4.277, "vol_a3_per_cell": 408.7, "lattice": [[-3.197, 5.633, 5.674], [3.197, -5.633, 5.674], [3.197, 5.633, -5.674]], "species": ["Pr", "Dy", "Dy", "Dy", "Ho", "Ho", "Ho", "Ho", "Ho", "Ho", "Ho", "Ho"], "fractional_positions": [[0.000, 0.000, 0.000], [0.256, 0.756, 0.500], [0.500, 0.500, 0.000], [0.744, 0.244, 0.500], [0.081, 0.251, 0.831], [0.257, 0.247, 0.503], [0.257, 0.753, 0.010], [0.420, 0.251, 0.169], [0.580, 0.749, 0.831], [0.743, 0.247, 0.990], [0.743, 0.753, 0.497], [0.919, 0.749, 0.169]]}


{"formula": "PrDy2Ho12", "functional": "GGA-PBE", "state": "optimized geometry", "ef_ev_per_atom": 0.112, "mass_density_g_cm3": 8.52, "dos_ef_per_ev_cell": 23.2, "energy_ev_per_atom": -4.483, "vol_a3_per_cell": 476.6, "lattice": [[3.545, 0.000, 0.000], [0.000, 5.553, 0.000], [-1.740, 0.000, 24.208]], "species": ["Pr", "Dy", "Dy", "Ho", "Ho", "Ho", "Ho", "Ho", "Ho", "Ho", "Ho", "Ho", "Ho", "Ho", "Ho"], "fractional_positions": [[0.000, 0.000, 0.000], [0.362, 0.000, 0.727], [0.638, 0.000, 0.273], [0.071, 0.000, 0.139], [0.102, 0.500, 0.203], [0.168, 0.500, 0.331], [0.217, 0.000, 0.426], [0.274, 0.500, 0.555], [0.461, 0.500, 0.924], [0.539, 0.500, 0.076], [0.726, 0.500, 0.445], [0.783, 0.000, 0.574], [0.832, 0.500, 0.669], [0.898, 0.500, 0.797], [0.929, 0.000, 0.861]]}